(i)
# NiPdPt5

A relaxed NiPdPt5 crystal (PBE, Alexandria).

Cell: 6.2391 6.2391 6.2391 Å, 130.66 90.80 109.54°
Element x y z (fractional)
Ni1 0.0000 0.0000 0.0000
Pd1 0.9597 0.4597 0.5000
Pt1 0.2966 0.0460 0.7494
Pt2 0.2966 0.5472 0.2506
Pt3 0.4915 0.2439 0.2476
Pt4 0.5979 0.0979 0.5000
Pt5 0.9963 0.2439 0.7524

Calculated values
Crystal system: orthorhombic
Magnetization: 0.120 μB/atom
D(E_F): 10.49 states/eV per cell
Symmetry: Imm2


(ii)
# NiPdPt5

A relaxed NiPdPt5 crystal (PBE, Alexandria).

Cell: 3.8957 3.8957 7.3013 Å, 90.00 90.00 90.00°
Element x y z (fractional)
Ni1 0.0000 0.0000 0.0000
Pd1 0.0000 0.0000 0.5000
Pt1 0.0000 0.5000 0.2191
Pt2 0.0000 0.5000 0.7809
Pt3 0.5000 0.0000 0.2191
Pt4 0.5000 0.0000 0.7809
Pt5 0.5000 0.5000 0.5000

Calculated values
Crystal system: tetragonal
Magnetization: 0.201 μB/atom
D(E_F): 12.14 states/eV per cell
Symmetry: P4/mmm


Which structure above is the least stable? It is (i).